1.
# BeCrCoP (PBE-GGA, relaxed)
# total moment = 0.00 μB per formula unit
# energy relative to the elements = -0.257 eV per atom
# energy above the lowest structure with this stoichiometry = 71 meV/atom
data_BeCrCoP
_chemical_formula_sum 'Be1 Cr1 Co1 P1'
_cell_length_a 2.7269
_cell_length_b 3.7739
_cell_length_c 3.8714
_cell_angle_alpha 90.00
_cell_angle_beta 90.00
_cell_angle_gamma 90.00
_space_group_name_H-M_alt 'P m m m'
_space_group_IT_number 47
loop_
_space_group_symop_operation_xyz
'x,y,z'
'-x,-y,-z'
'-x,-y,z'
'x,y,-z'
'x,-y,-z'
'-x,y,z'
'-x,y,-z'
'x,-y,z'
loop_
_atom_site_label
_atom_site_type_symbol
_atom_site_fract_x
_atom_site_fract_y
_atom_site_fract_z
_atom_site_occupancy
Be1 Be 0.0000 0.0000 0.0000 1
Cr1 Cr 0.5000 0.0000 0.5000 1
Co1 Co 0.5000 0.5000 0.0000 1
P1 P 0.0000 0.5000 0.5000 1

***

2.
# BeCrCoP (PBE-GGA, relaxed)
# total moment = 0.00 μB per formula unit
# energy relative to the elements = -0.243 eV per atom
# energy above the lowest structure with this stoichiometry = 85 meV/atom
data_BeCrCoP
_chemical_formula_sum 'Be1 Cr1 Co1 P1'
_cell_length_a 2.7141
_cell_length_b 3.3253
_cell_length_c 4.6569
_cell_angle_alpha 90.00
_cell_angle_beta 90.00
_cell_angle_gamma 90.00
_space_group_name_H-M_alt 'P m m 2'
_space_group_IT_number 25
loop_
_space_group_symop_operation_xyz
'x,y,z'
'-x,-y,z'
'-x,y,z'
'x,-y,z'
loop_
_atom_site_label
_atom_site_type_symbol
_atom_site_fract_x
_atom_site_fract_y
_atom_site_fract_z
_atom_site_occupancy
Be1 Be 0.0000 0.0000 0.0000 1
Cr1 Cr 0.0000 0.5000 0.3547 1
Co1 Co 0.5000 0.5000 0.8598 1
P1 P 0.5000 0.0000 0.5405 1

***

3.
# BeCrCoP (PBE-GGA, relaxed)
# total moment = 0.00 μB per formula unit
# energy relative to the elements = -0.125 eV per atom
# energy above the lowest structure with this stoichiometry = 203 meV/atom
data_BeCrCoP
_chemical_formula_sum 'Be2 Cr2 Co2 P2'
_cell_length_a 2.5934
_cell_length_b 2.5934
_cell_length_c 13.3632
_cell_angle_alpha 90.00
_cell_angle_beta 90.00
_cell_angle_gamma 90.00
_space_group_name_H-M_alt 'I 4 m m'
_space_group_IT_number 107
_space_group_name_Hall 'I 4 -2'
loop_
_atom_site_label
_atom_site_type_symbol
_atom_site_fract_x
_atom_site_fract_y
_atom_site_fract_z
_atom_site_occupancy
Be1 Be 0.0000 0.0000 0.0000 1
Cr1 Cr 0.0000 0.0000 0.7801 1
Co1 Co 0.0000 0.0000 0.3980 1
P1 P 0.0000 0.0000 0.1635 1

***

4.
# BeCrCoP (PBE-GGA, relaxed)
# total moment = 0.00 μB per formula unit
# energy relative to the elements = -0.328 eV per atom
# energy above the lowest structure with this stoichiometry = 0 meV/atom
data_BeCrCoP
_chemical_formula_sum 'Be2 Cr2 Co2 P2'
_cell_length_a 3.4166
_cell_length_b 3.0596
_cell_length_c 7.9180
_cell_angle_alpha 90.00
_cell_angle_beta 90.00
_cell_angle_gamma 90.00
_space_group_name_H-M_alt 'A m m 2'
_space_group_IT_number 38
loop_
_space_group_symop_operation_xyz
'x,y,z'
'-x,-y,z'
'-x,y,z'
'x,-y,z'
'x,y+1/2,z+1/2'
'-x,-y+1/2,z+1/2'
'-x,y+1/2,z+1/2'
'x,-y+1/2,z+1/2'
loop_
_atom_site_label
_atom_site_type_symbol
_atom_site_fract_x
_atom_site_fract_y
_atom_site_fract_z
_atom_site_occupancy
Be1 Be 0.0000 0.0000 0.0000 1
Cr1 Cr 0.5000 0.0000 0.5534 1
Co1 Co 0.0000 0.0000 0.2794 1
P1 P 0.5000 0.0000 0.8331 1

***

5.
# Be2CrCo5Re2 (PBE-GGA, relaxed)
# total moment = 5.97 μB per formula unit
# energy relative to the elements = 0.010 eV per atom
data_Be2CrCo5Re2
_chemical_formula_sum 'Be4 Cr2 Co10 Re4'
_cell_length_a 8.7160
_cell_length_b 8.7160
_cell_length_c 2.8429
_cell_angle_alpha 90.00
_cell_angle_beta 90.00
_cell_angle_gamma 90.00
_space_group_name_H-M_alt 'P 4/m b m'
_space_group_IT_number 127
_space_group_name_Hall '-P 4 2ab'
loop_
_atom_site_label
_atom_site_type_symbol
_atom_site_fract_x
_atom_site_fract_y
_atom_site_fract_z
_atom_site_occupancy
Be1 Be 0.1231 0.3769 0.0000 1
Cr1 Cr 0.0000 0.0000 0.0000 1
Co1 Co 0.0000 0.5000 0.5000 1
Co2 Co 0.0601 0.2062 0.5000 1
Re1 Re 0.1778 0.6778 0.0000 1

***

6.
# BeCrCoRh (PBE-GGA, relaxed)
# total moment = 2.02 μB per formula unit
# energy relative to the elements = -0.139 eV per atom
data_BeCrCoRh
_chemical_formula_sum 'Be4 Cr4 Co4 Rh4'
_cell_length_a 5.6545
_cell_length_b 5.6545
_cell_length_c 5.6545
_cell_angle_alpha 90.00
_cell_angle_beta 90.00
_cell_angle_gamma 90.00
_space_group_name_H-M_alt 'F -4 3 m'
_space_group_IT_number 216
_space_group_name_Hall 'F -4 2 3'
loop_
_atom_site_label
_atom_site_type_symbol
_atom_site_fract_x
_atom_site_fract_y
_atom_site_fract_z
_atom_site_occupancy
Be1 Be 0.0000 0.0000 0.0000 1
Cr1 Cr 0.0000 0.0000 0.5000 1
Co1 Co 0.2500 0.2500 0.7500 1
Rh1 Rh 0.2500 0.2500 0.2500 1

***

7.
# BeCrCoRu (PBE-GGA, relaxed)
# total moment = 0.00 μB per formula unit
# energy relative to the elements = -0.119 eV per atom
# energy above the lowest structure with this stoichiometry = 0 meV/atom
data_BeCrCoRu
_chemical_formula_sum 'Be1 Cr1 Co1 Ru1'
_cell_length_a 2.7743
_cell_length_b 2.7743
_cell_length_c 5.6709
_cell_angle_alpha 90.00
_cell_angle_beta 90.00
_cell_angle_gamma 90.00
_space_group_name_H-M_alt 'P 4 m m'
_space_group_IT_number 99
loop_
_space_group_symop_operation_xyz
'x,y,z'
'-y,x,z'
'-x,-y,z'
'y,-x,z'
'-x,y,z'
'y,x,z'
'x,-y,z'
'-y,-x,z'
loop_
_atom_site_label
_atom_site_type_symbol
_atom_site_fract_x
_atom_site_fract_y
_atom_site_fract_z
_atom_site_occupancy
Be1 Be 0.0000 0.0000 0.0000 1
Cr1 Cr 0.0000 0.0000 0.5271 1
Co1 Co 0.5000 0.5000 0.7861 1
Ru1 Ru 0.5000 0.5000 0.2517 1

***

8.
# BeCrCoRu (PBE-GGA, relaxed)
# total moment = 1.01 μB per formula unit
# energy relative to the elements = -0.112 eV per atom
# energy above the lowest structure with this stoichiometry = 7 meV/atom
data_BeCrCoRu
_chemical_formula_sum 'Be4 Cr4 Co4 Ru4'
_cell_length_a 5.6245
_cell_length_b 5.6245
_cell_length_c 5.6245
_cell_angle_alpha 90.00
_cell_angle_beta 90.00
_cell_angle_gamma 90.00
_space_group_name_H-M_alt 'F -4 3 m'
_space_group_IT_number 216
_space_group_name_Hall 'F -4 2 3'
loop_
_atom_site_label
_atom_site_type_symbol
_atom_site_fract_x
_atom_site_fract_y
_atom_site_fract_z
_atom_site_occupancy
Be1 Be 0.0000 0.0000 0.0000 1
Cr1 Cr 0.0000 0.0000 0.5000 1
Co1 Co 0.2500 0.2500 0.2500 1
Ru1 Ru 0.2500 0.2500 0.7500 1

***

9.
# Be2CrCoS (PBE-GGA, relaxed)
# total moment = 0.07 μB per formula unit
# uncorrected energy = -4.805 eV per atom
data_Be2CrCoS
_chemical_formula_sum 'Be2 Cr1 Co1 S1'
_cell_length_a 3.8833
_cell_length_b 3.8833
_cell_length_c 4.1122
_cell_angle_alpha 90.00
_cell_angle_beta 90.00
_cell_angle_gamma 90.00
_space_group_name_H-M_alt 'P 4/m m m'
_space_group_IT_number 123
_space_group_name_Hall '-P 4 2'
loop_
_atom_site_label
_atom_site_type_symbol
_atom_site_fract_x
_atom_site_fract_y
_atom_site_fract_z
_atom_site_occupancy
Be1 Be 0.0000 0.5000 0.0000 1
Cr1 Cr 0.0000 0.0000 0.5000 1
Co1 Co 0.5000 0.5000 0.0000 1
S1 S 0.5000 0.5000 0.5000 1

***

10.
# Be2Cr2Co5Si (PBE-GGA, relaxed)
# total moment = 5.49 μB per formula unit
# uncorrected energy = -6.905 eV per atom
data_Be2Cr2Co5Si
_chemical_formula_sum 'Be4 Cr4 Co10 Si2'
_cell_length_a 8.4954
_cell_length_b 8.4954
_cell_length_c 2.8613
_cell_angle_alpha 90.00
_cell_angle_beta 90.00
_cell_angle_gamma 90.00
_space_group_name_H-M_alt 'P 4/m b m'
_space_group_IT_number 127
_space_group_name_Hall '-P 4 2ab'
loop_
_atom_site_label
_atom_site_type_symbol
_atom_site_fract_x
_atom_site_fract_y
_atom_site_fract_z
_atom_site_occupancy
Be1 Be 0.1242 0.3758 0.0000 1
Cr1 Cr 0.1740 0.6740 0.0000 1
Co1 Co 0.0000 0.5000 0.5000 1
Co2 Co 0.0657 0.2049 0.5000 1
Si1 Si 0.0000 0.0000 0.0000 1

***

11.
# Ta2Be2CrCo5 (PBE-GGA, relaxed)
# total moment = 2.47 μB per formula unit
# energy relative to the elements = -0.212 eV per atom
data_Ta2Be2CrCo5
_chemical_formula_sum 'Ta4 Be4 Cr2 Co10'
_cell_length_a 8.4324
_cell_length_b 8.4324
_cell_length_c 3.1998
_cell_angle_alpha 90.00
_cell_angle_beta 90.00
_cell_angle_gamma 90.00
_space_group_name_H-M_alt 'P 4/m b m'
_space_group_IT_number 127
_space_group_name_Hall '-P 4 2ab'
loop_
_atom_site_label
_atom_site_type_symbol
_atom_site_fract_x
_atom_site_fract_y
_atom_site_fract_z
_atom_site_occupancy
Ta1 Ta 0.1781 0.3219 0.0000 1
Be1 Be 0.1175 0.6175 0.0000 1
Cr1 Cr 0.0000 0.0000 0.0000 1
Co1 Co 0.0000 0.5000 0.5000 1
Co2 Co 0.0687 0.7884 0.5000 1

***

12.
# Be2V2CrCo5 (PBE-GGA, relaxed)
# total moment = 0.00 μB per formula unit
# energy relative to the elements = -0.093 eV per atom
data_Be2V2CrCo5
_chemical_formula_sum 'Be4 V4 Cr2 Co10'
_cell_length_a 8.1031
_cell_length_b 8.1031
_cell_length_c 3.2008
_cell_angle_alpha 90.00
_cell_angle_beta 90.00
_cell_angle_gamma 90.00
_space_group_name_H-M_alt 'P 4/m b m'
_space_group_IT_number 127
_space_group_name_Hall '-P 4 2ab'
loop_
_atom_site_label
_atom_site_type_symbol
_atom_site_fract_x
_atom_site_fract_y
_atom_site_fract_z
_atom_site_occupancy
Be1 Be 0.1198 0.3802 0.0000 1
V1 V 0.1758 0.6758 0.0000 1
Cr1 Cr 0.0000 0.0000 0.0000 1
Co1 Co 0.0000 0.5000 0.5000 1
Co2 Co 0.0695 0.2064 0.5000 1

***

Fermi-level density of states per entry: 2.87; 2.36; 3.53; 6.04; 17.21; 18.93; 3.67; 17.27; 10.82; 18.12; 20.00; 22.42 states/eV per cell
V per entry: 40; 42; 90; 83; 216; 181; 44; 178; 62; 207; 228; 210 Å³ per cell